No. 1
The following is a PBE calculation of a relaxed structure of TbNbS4, from Alexandria via LeMat-Bulk.

- Total moment: 0.000 μB/f.u.
- E_tot: -6.32 eV/atom

a b c (Å): 6.4326 6.4081 6.4557
angles (deg): 90.00 97.43 90.00
Space group P2_1/c (No. 14)
Unique sites:
Tb1 0.0000 0.0000 0.0000
Nb1 0.5000 0.0000 0.5000
S1 0.1598 0.1379 0.3887
S2 0.3699 0.6646 0.3116

***

No. 2
The following is a PBE calculation of a relaxed structure of TbNb6S8, from Alexandria via LeMat-Bulk.

- Total moment: 0.000 μB/f.u.
- E_tot: -7.59 eV/atom

a b c (Å): 9.2184 9.2184 11.8939
angles (deg): 90.00 90.00 120.00
Space group R-3 (No. 148, hexagonal axes)
Unique sites:
Tb1 0.0000 0.0000 0.0000
Nb1 0.0207 0.8337 0.3888
S1 0.0000 0.0000 0.2304
S2 0.0014 0.6283 0.2411

***

No. 3
The following is a PBE calculation of a relaxed structure of TbNb2S6, from Alexandria via LeMat-Bulk.

- Total moment: 0.062 μB/f.u.
- E_tot: -6.54 eV/atom

a b c (Å): 12.3406 4.5662 8.9162
angles (deg): 90.00 118.86 90.00
Space group C2/m (No. 12)
Unique sites:
Tb1 0.0000 0.0000 0.0000
Nb1 0.1675 0.0000 0.6116
S1 0.0203 0.0000 0.7039
S2 0.1518 0.5000 0.1126
S3 0.1978 0.5000 0.5511

***

No. 4
The following is a PBE calculation of a relaxed structure of NbTc2S, from Alexandria via LeMat-Bulk.

- Total moment: 0.000 μB/f.u.
- E_tot: -8.58 eV/atom

a b c (Å): 7.0982 7.0982 5.1116
angles (deg): 90.00 90.00 90.00
Space group I-42d (No. 122)
Unique sites:
Nb1 0.0000 0.0000 0.0000
Tc1 0.1683 0.2500 0.6250
S1 0.0000 0.0000 0.5000

***

No. 5
The following is a PBE calculation of a relaxed structure of NbTcS3, from Alexandria via LeMat-Bulk.

- Total moment: 0.000 μB/f.u.
- E_tot: -7.19 eV/atom

a b c (Å): 16.1199 3.2966 8.2150
angles (deg): 90.00 95.97 90.00
Space group C2/m (No. 12)
Unique sites:
Nb1 0.1579 0.0000 0.3609
Tc1 0.2352 0.5000 0.8722
S1 0.0550 0.5000 0.2722
S2 0.1446 0.0000 0.9478
S3 0.1800 0.5000 0.5913

***

No. 6
The following is a PBE calculation of a relaxed structure of NbTcS4, from Alexandria via LeMat-Bulk.

- Total moment: 0.599 μB/f.u.
- E_tot: -6.57 eV/atom

a b c (Å): 5.9925 5.9128 5.9334
angles (deg): 90.00 90.98 90.00
Space group P2_1/c (No. 14)
Unique sites:
Nb1 0.0000 0.0000 0.0000
Tc1 0.5000 0.0000 0.5000
S1 0.1474 0.1339 0.3697
S2 0.3748 0.6355 0.3603